# 1
Here is crystalline ErTm3Fe at its relaxed geometry from Alexandria via LeMat-Bulk. Energies are from PBE.

calculated formation energy = 15 meV per atom
total magnetic moment = 0.42 Bohr magnetons per cell
polymorph energy (0 for the lowest one) = 0 meV/atom
mass density = 9.28 g cm⁻³

a b c (Å): 10.5437 3.6519 13.5630
angles (deg): 90.00 90.00 90.00
Last column: nearest neighbours and their distance in Å.
Fractional coordinates of all 20 atoms:
1 Er 0.2017 0.2500 0.0074  2 Fe 2.70
2 Er 0.2983 0.7500 0.5074  2 Fe 2.70
3 Er 0.7017 0.2500 0.4926  2 Fe 2.70
4 Er 0.7983 0.7500 0.9926  2 Fe 2.70
5 Tm 0.0346 0.2500 0.5986  3 Fe 2.83-3.06
6 Tm 0.0640 0.7500 0.8238  1 Fe 2.98, 2 Tm 3.28
7 Tm 0.1968 0.7500 0.2470  2 Fe 2.78
8 Tm 0.3032 0.2500 0.7470  2 Fe 2.78
9 Tm 0.4360 0.2500 0.3238  1 Fe 2.98, 2 Tm 3.28
10 Tm 0.4654 0.7500 0.0986  3 Fe 2.83-3.06
11 Tm 0.5346 0.2500 0.9014  3 Fe 2.83-3.06
12 Tm 0.5640 0.7500 0.6762  1 Fe 2.98, 2 Tm 3.28
13 Tm 0.6968 0.7500 0.2530  2 Fe 2.78
14 Tm 0.8032 0.2500 0.7530  2 Fe 2.78
15 Tm 0.9360 0.2500 0.1762  1 Fe 2.98, 2 Tm 3.28
16 Tm 0.9654 0.7500 0.4014  3 Fe 2.83-3.06
17 Fe 0.1708 0.2500 0.3997  2 Er 2.70, 5 Tm 2.78-2.98
18 Fe 0.3292 0.7500 0.8997  2 Er 2.70, 5 Tm 2.78-2.98
19 Fe 0.6708 0.2500 0.1003  2 Er 2.70, 5 Tm 2.78-2.98
20 Fe 0.8292 0.7500 0.6003  2 Er 2.70, 5 Tm 2.78-2.98

---

# 2
Here is crystalline ErTmZnFe at its relaxed geometry from Alexandria via LeMat-Bulk. Energies are from PBE.

calculated formation energy = -103 meV per atom
total magnetic moment = 1.09 Bohr magnetons per cell
mass density = 9.52 g cm⁻³

a b c (Å): 4.8323 4.8323 4.8323
angles (deg): 60.00 60.00 60.00
Last column: nearest neighbours and their distance in Å.
Fractional coordinates of all 4 atoms:
1 Er 0.0000 0.0000 0.0000  4 Fe 2.96, 4 Zn 2.96
2 Tm 0.5000 0.5000 0.5000  4 Fe 2.96, 4 Zn 2.96
3 Zn 0.2500 0.2500 0.2500  4 Er 2.96, 4 Tm 2.96
4 Fe 0.7500 0.7500 0.7500  4 Er 2.96, 4 Tm 2.96

---

# 3
Here is crystalline Er3U2Fe6 at its relaxed geometry from Alexandria via LeMat-Bulk. Energies are from PBE.

calculated formation energy = -120 meV per atom
total magnetic moment = 6.44 Bohr magnetons per cell
mass density = 11.61 g cm⁻³

a b c (Å): 7.8715 7.8715 7.8715
angles (deg): 109.47 109.47 109.47
Last column: nearest neighbours and their distance in Å.
Fractional coordinates of all 22 atoms:
1 Er 0.0000 0.2915 0.2915  8 Fe 2.82-3.09
2 Er 0.0000 0.7085 0.7085  8 Fe 2.82-3.09
3 Er 0.2915 0.0000 0.2915  8 Fe 2.82-3.09
4 Er 0.2915 0.2915 0.0000  8 Fe 2.82-3.09
5 Er 0.7085 0.0000 0.7085  8 Fe 2.82-3.09
6 Er 0.7085 0.7085 0.0000  8 Fe 2.82-3.09
7 U 0.0000 0.0000 0.5000  6 Fe 2.53
8 U 0.0000 0.5000 0.0000  6 Fe 2.53
9 U 0.5000 0.0000 0.0000  6 Fe 2.53
10 U 0.5000 0.5000 0.5000  6 Fe 2.53
11 Fe 0.0000 0.3372 0.6628  2 U 2.53, 4 Fe 2.63, 2 Er 2.82
12 Fe 0.0000 0.6628 0.3372  2 U 2.53, 4 Fe 2.63, 2 Er 2.82
13 Fe 0.3255 0.6628 0.6628  2 U 2.53, 4 Fe 2.63, 2 Er 2.82
14 Fe 0.3372 0.0000 0.6628  2 U 2.53, 4 Fe 2.63, 2 Er 2.82
15 Fe 0.3372 0.3372 0.6745  2 U 2.53, 4 Fe 2.63, 2 Er 2.82
16 Fe 0.3372 0.6628 0.0000  2 U 2.53, 4 Fe 2.63, 2 Er 2.82
17 Fe 0.3372 0.6745 0.3372  2 U 2.53, 4 Fe 2.63, 2 Er 2.82
18 Fe 0.6628 0.0000 0.3372  2 U 2.53, 4 Fe 2.63, 2 Er 2.82
19 Fe 0.6628 0.3255 0.6628  2 U 2.53, 4 Fe 2.63, 2 Er 2.82
20 Fe 0.6628 0.3372 0.0000  2 U 2.53, 4 Fe 2.63, 2 Er 2.82
21 Fe 0.6628 0.6628 0.3255  2 U 2.53, 4 Fe 2.63, 2 Er 2.82
22 Fe 0.6745 0.3372 0.3372  2 U 2.53, 4 Fe 2.63, 2 Er 2.82

---

Q: total magnetic moment of number 2 (ErTmZnFe)?
A: 1.09 Bohr magnetons per cell